[1]
{
  "formula": "Na2Fe2Pb",
  "functional": "meta-GGA SCAN",
  "state": "single point on PBEsol structure",
  "ef_ev_per_atom": 0.721,
  "energy_ev_per_atom": -23.37,
  "total_magnetization_mub_per_cell": 6.04,
  "lattice": [[3.894, 0.000, 0.000], [0.000, 3.894, 0.000], [-1.947, -1.947, 6.856]],
  "species": ["Fe", "Pb", "Na", "Na", "Fe"],
  "fractional_positions": [[0.423, 0.423, 0.845], [0.000, 0.000, 0.000], [0.750, 0.250, 0.500], [0.250, 0.750, 0.500], [0.577, 0.577, 0.155]]
}

[2]
{
  "formula": "NaFePt3",
  "functional": "meta-GGA SCAN",
  "state": "single point on PBEsol structure",
  "ef_ev_per_atom": 1.622,
  "energy_ev_per_atom": -44.96,
  "total_magnetization_mub_per_cell": 4.44,
  "lattice": [[4.469, 0.000, 0.000], [0.000, 4.469, 0.000], [0.000, 0.000, 4.469]],
  "species": ["Na", "Pt", "Pt", "Fe", "Pt"],
  "fractional_positions": [[0.000, 0.000, 0.000], [0.000, 0.500, 0.000], [0.000, 0.000, 0.500], [0.500, 0.500, 0.500], [0.500, 0.000, 0.000]]
}

[3]
{
  "formula": "RbNa2FePt",
  "functional": "meta-GGA SCAN",
  "state": "single point on PBEsol structure",
  "ef_ev_per_atom": 1.540,
  "energy_ev_per_atom": -21.96,
  "total_magnetization_mub_per_cell": 2.90,
  "lattice": [[4.764, 0.000, 0.000], [0.000, 5.049, 0.000], [0.000, 0.000, 5.049]],
  "species": ["Rb", "Fe", "Pt", "Na", "Na"],
  "fractional_positions": [[0.000, 0.000, 0.000], [0.500, 0.000, 0.000], [0.500, 0.500, 0.500], [0.000, 0.500, 0.000], [0.000, 0.000, 0.500]]
}

[4]
{
  "formula": "Na3FeRe",
  "functional": "meta-GGA SCAN",
  "state": "single point on PBEsol structure",
  "ef_ev_per_atom": 2.115,
  "energy_ev_per_atom": -18.26,
  "total_magnetization_mub_per_cell": 0.04,
  "lattice": [[-3.139, -4.662, 0.089], [0.382, -0.364, -5.596], [4.648, -3.119, 0.520]],
  "species": ["Na", "Na", "Na", "Fe", "Re"],
  "fractional_positions": [[0.500, 0.000, 0.000], [0.000, 0.000, 0.500], [0.000, 0.500, 0.000], [0.500, 0.500, 0.500], [0.000, 0.000, 0.000]]
}

[5]
{
  "formula": "NaFeRe2",
  "functional": "meta-GGA SCAN",
  "state": "single point on PBEsol structure",
  "ef_ev_per_atom": 1.128,
  "energy_ev_per_atom": -40.01,
  "total_magnetization_mub_per_cell": 1.09,
  "lattice": [[4.254, 0.000, 0.000], [2.127, 3.684, 0.000], [2.127, 1.228, 3.473]],
  "species": ["Na", "Re", "Re", "Fe"],
  "fractional_positions": [[0.000, 0.000, 0.000], [0.750, 0.750, 0.750], [0.250, 0.250, 0.250], [0.500, 0.500, 0.500]]
}

[6]
{
  "formula": "NaFeRe2Sb",
  "functional": "meta-GGA SCAN",
  "state": "single point on PBEsol structure",
  "raw_formation_energy_mev_per_atom": 1446,
  "energy_ev_per_atom": -38.91,
  "total_magnetization_mub_per_cell": 0.00,
  "lattice": [[4.481, 0.000, 0.000], [0.000, 4.481, 0.000], [0.000, 0.000, 4.738]],
  "species": ["Re", "Sb", "Re", "Na", "Fe"],
  "fractional_positions": [[0.500, 0.000, 0.000], [0.000, 0.000, 0.500], [0.000, 0.500, 0.000], [0.500, 0.500, 0.500], [0.000, 0.000, 0.000]]
}

[7]
{
  "formula": "Na2FeSiS4",
  "functional": "meta-GGA SCAN",
  "state": "single point on PBEsol structure",
  "raw_formation_energy_mev_per_atom": -998,
  "energy_ev_per_atom": -10.38,
  "total_magnetization_mub_per_cell": 4.00,
  "lattice": [[6.279, 0.000, 0.000], [-3.140, 5.353, -0.213], [0.000, -3.475, 5.230]],
  "species": ["S", "S", "Na", "S", "Si", "S", "Na", "Fe"],
  "fractional_positions": [[0.954, 0.257, 0.362], [0.303, 0.257, 0.895], [0.750, 0.500, 0.250], [0.638, 0.743, 0.697], [0.000, 0.000, 0.000], [0.105, 0.743, 0.046], [0.500, 0.000, 0.500], [0.250, 0.500, 0.750]]
}

[8]
{
  "formula": "NaSc2Fe",
  "functional": "meta-GGA SCAN",
  "state": "single point on PBEsol structure",
  "ef_ev_per_atom": 0.276,
  "energy_ev_per_atom": -12.43,
  "total_magnetization_mub_per_cell": 0.79,
  "lattice": [[-1.081, -1.018, 2.884], [0.117, -3.152, 0.755], [8.770, -0.132, 5.066]],
  "species": ["Na", "Sc", "Sc", "Fe"],
  "fractional_positions": [[0.000, 0.000, 0.000], [0.111, 0.111, 0.668], [0.889, 0.889, 0.332], [0.500, 0.500, 0.500]]
}